First-principles (PBE) data for CrRh2Pb after structural relaxation, as listed in the Alexandria database.

Values from the calculation:
symmetry = Pmm2 (25)
total DFT energy (no corrections) = -0.250 hartree per atom
energy of formation from the pure elements = 196.7 meV/atom
crystal system = orthorhombic

Lattice parameters (Å, degrees): 3.0587 3.8624 5.6916 90.00 90.00 90.00
Closest atoms and distances in Å follow each position.
Sites, in units of the cell vectors:
Rh  0.0000  0.0000  0.9992  1 Cr 2.57, 4 Pb 2.79
Rh  0.5000  0.5000  0.2822  4 Cr 2.64, 2 Pb 2.77-2.92, 4 Rh 2.94
Cr  0.0000  0.0000  0.4500  5 Rh 2.57-2.64
Pb  0.5000  0.5000  0.7687  6 Rh 2.77-2.92, 2 Pb 3.06, 4 Cr 3.06

***

First-principles (PBE) data for Er2TmPb after structural relaxation, as listed in the Alexandria database.

Values from the calculation:
symmetry = P4/mmm (123)
total DFT energy (no corrections) = -0.168 hartree per atom
energy of formation from the pure elements = -249.4 meV/atom
crystal system = tetragonal
excess energy over the best structure of this formula in the dataset = 0.000 eV/atom

Lattice parameters (Å, degrees): 4.8181 4.8137 4.8137 90.00 90.00 90.00
Closest atoms and distances in Å follow each position.
Sites, in units of the cell vectors:
Tm  0.5000  0.5000  0.5000  4 Pb 3.40, 8 Er 3.41
Pb  0.5000  0.0000  0.0000  4 Tm 3.40, 8 Er 3.41
Er  0.0000  0.0000  0.5000  4 Er 3.40, 4 Tm 3.41, 4 Pb 3.41
Er  0.0000  0.5000  0.0000  4 Er 3.40, 4 Tm 3.41, 4 Pb 3.41

***

First-principles (PBE) data for HoBIr after structural relaxation, as listed in the Alexandria database.

Values from the calculation:
symmetry = I4mm (107)
total DFT energy (no corrections) = -0.257 hartree per atom
energy of formation from the pure elements = -289.6 meV/atom
crystal system = tetragonal
excess energy over the best structure of this formula in the dataset = 0.385 eV/atom

Lattice parameters (Å, degrees): 2.9384 2.9384 5.5560 105.33 105.33 90.00
Closest atoms and distances in Å follow each position.
Sites, in units of the cell vectors:
B  0.7003  0.7003  0.4007  4 Ir 2.27
Ho  0.0104  0.0104  0.0208  5 B 2.85-3.20, 5 Ir 2.87-3.08, 4 Ho 2.94
Ir  0.2893  0.2893  0.5785  4 B 2.27